{
  "formula": "Dy2ErZr",
  "functional": "PBE",
  "state": "optimized geometry",
  "volume_a3_per_atom": 28.80,
  "formation_enthalpy_0k_mev_per_atom": 168,
  "crystal_system": "tetragonal",
  "relative_energy_ev_per_atom": 0.0938,
  "lattice_angstrom": [[4.011, 0.000, 0.000], [0.000, 4.011, 0.000], [0.000, 0.000, 7.161]],
  "species": ["Dy", "Dy", "Zr", "Er"],
  "frac_coords": [[0.000, 0.000, 0.728], [0.000, 0.000, 0.272], [0.500, 0.500, 0.500], [0.500, 0.500, 0.000]]
}